Material: Ac2Y3Tm
Method: DFT, PBE-GGA
State: optimized geometry

a b c (Å): 5.2359 11.6854 8.2736
angles (deg): 114.94 108.45 90.00
Last column: nearest neighbours and their distance in Å.
Element x y z (fractional)
1 Y 0.6243 0.6168 0.2485  8 Y 3.56-3.75, 1 Tm 3.69, 3 Ac 3.71-3.77
2 Ac 0.2099 0.8683 0.4197  4 Y 3.65-3.81, 3 Tm 3.67-3.86, 5 Ac 3.79-3.82
3 Y 0.2896 0.6186 0.5791  8 Y 3.55-3.68, 2 Ac 3.65, 2 Tm 3.69
4 Y 0.3757 0.3832 0.7515  8 Y 3.56-3.75, 1 Tm 3.69, 3 Ac 3.71-3.77
5 Tm 0.1272 0.1336 0.2544  7 Ac 3.65-3.86, 4 Y 3.68-3.69, 1 Tm 3.82
6 Tm 0.8728 0.8664 0.7456  7 Ac 3.65-3.86, 4 Y 3.68-3.69, 1 Tm 3.82
7 Ac 0.5351 0.8674 0.0702  4 Tm 3.65-3.82, 4 Y 3.65-3.77, 4 Ac 3.72-3.82
8 Y 0.0477 0.3860 0.0955  8 Y 3.55-3.75, 1 Tm 3.68, 3 Ac 3.73-3.81
9 Ac 0.4649 0.1326 0.9298  4 Tm 3.65-3.82, 4 Y 3.65-3.77, 4 Ac 3.72-3.82
10 Y 0.9523 0.6140 0.9045  8 Y 3.55-3.75, 1 Tm 3.68, 3 Ac 3.73-3.81
11 Ac 0.7901 0.1317 0.5803  4 Y 3.65-3.81, 3 Tm 3.67-3.86, 5 Ac 3.79-3.82
12 Y 0.7104 0.3814 0.4209  8 Y 3.55-3.68, 2 Ac 3.65, 2 Tm 3.69

Output
Its crystal system is monoclinic. As for the total energy: -5.288 eV/atom. The value obtained for the magnetization is 0.000 μB per atom. The symmetry is C2/m. The calculation puts the density of states at the Fermi level at 9.33 states/eV/f.u.

---

Material: Pm2Zn2Ag3
Method: DFT, PBE-GGA
State: optimized geometry

a b c (Å): 3.9652 5.8308 7.0587
angles (deg): 96.76 90.00 109.88
Last column: nearest neighbours and their distance in Å.
Element x y z (fractional)
1 Zn 0.9173 0.8346 0.3509  1 Zn 2.60, 3 Ag 2.67-2.74
2 Zn 0.0827 0.1654 0.6491  1 Zn 2.60, 3 Ag 2.67-2.74
3 Pm 0.6353 0.2706 0.3204  5 Zn 3.07-3.16, 5 Ag 3.23-3.27
4 Pm 0.3647 0.7294 0.6796  5 Zn 3.07-3.16, 5 Ag 3.23-3.27
5 Ag 0.0000 0.0000 0.0000  2 Zn 2.74, 4 Ag 3.03
6 Ag 0.3184 0.6367 0.1287  2 Zn 2.67, 2 Ag 2.97
7 Ag 0.6816 0.3633 0.8713  2 Zn 2.67, 2 Ag 2.97

Output
Its crystal system is monoclinic. As for the total energy: -3.175 eV/atom. The value obtained for the magnetization is 0.000 μB per atom. For the offset from the most stable computed form, the calculation gives 0.015 eV per formula unit. The symmetry is C2/m. The calculation puts the density of states at the Fermi level at 4.63 states/eV/f.u.

---

Material: Li2Tb2PrGe2
Method: DFT, PBE-GGA
State: optimized geometry

a b c (Å): 4.5311 4.5311 9.4475
angles (deg): 76.13 76.13 60.00
Last column: nearest neighbours and their distance in Å.
Element x y z (fractional)
1 Tb 0.8717 0.8717 0.3850  3 Ge 3.01, 3 Li 3.03, 3 Tb 3.35
2 Pr 0.0000 0.0000 0.0000  6 Li 3.28, 6 Ge 3.30, 2 Tb 3.50
3 Tb 0.1283 0.1283 0.6150  3 Ge 3.01, 3 Li 3.03, 3 Tb 3.35
4 Li 0.5942 0.5942 0.2175  3 Ge 2.62
5 Li 0.4058 0.4058 0.7825  3 Ge 2.62
6 Ge 0.7405 0.7405 0.7785  3 Li 2.62
7 Ge 0.2595 0.2595 0.2215  3 Li 2.62

Output
Its crystal system is trigonal. As for the total energy: -4.362 eV/atom. The value obtained for the magnetization is 0.000 μB per atom. The symmetry is R-3m. The calculation puts the density of states at the Fermi level at 3.40 states/eV/f.u.

---

Material: MnP2S2
Method: DFT, PBE-GGA
State: optimized geometry

a b c (Å): 4.5333 4.5333 4.4490
angles (deg): 90.00 90.00 90.00
Last column: nearest neighbours and their distance in Å.
Element x y z (fractional)
1 S 0.5000 0.0000 0.0000  2 P 2.27
2 P 0.0000 0.0000 0.5000  2 P 2.22
3 Mn 0.5000 0.5000 0.5000  8 S 3.18, 4 P 3.21
4 S 0.0000 0.5000 0.0000  2 P 2.27
5 P 0.0000 0.0000 0.0000  2 P 2.22, 4 S 2.27

Output
Its crystal system is tetragonal. As for the total energy: -5.032 eV/atom. The value obtained for the magnetization is 0.882 μB per atom. For the offset from the most stable computed form, the calculation gives 0.444 eV per formula unit. The symmetry is P4/mmm. The calculation puts the density of states at the Fermi level at 3.56 states/eV/f.u.

---

Material: ReAuF2
Method: DFT, PBE-GGA
State: optimized geometry

a b c (Å): 4.3439 4.3439 4.3439
angles (deg): 60.00 60.00 60.00
Last column: nearest neighbours and their distance in Å.
Element x y z (fractional)
1 Au 0.5000 0.5000 0.5000  8 F 2.66
2 Re 0.0000 0.0000 0.0000  8 F 2.66
3 F 0.7500 0.7500 0.7500  4 Re 2.66, 4 Au 2.66
4 F 0.2500 0.2500 0.2500  4 Re 2.66, 4 Au 2.66

Output
Its crystal system is cubic. As for the total energy: -4.472 eV/atom. The value obtained for the magnetization is 1.013 μB per atom. For the offset from the most stable computed form, the calculation gives 5.321 eV per formula unit. The symmetry is Fm-3m. The calculation puts the density of states at the Fermi level at 2.39 states/eV/f.u.

---

Material: Mn2CoP
Method: DFT, PBE-GGA
State: optimized geometry

a b c (Å): 4.7243 4.7243 4.7243
angles (deg): 146.91 131.17 60.25
Last column: nearest neighbours and their distance in Å.
Element x y z (fractional)
1 Co 0.7500 0.2500 0.5000  4 P 2.37, 4 Mn 2.64
2 Mn 0.0320 0.0320 0.0000  2 P 2.23, 4 Mn 2.43
3 Mn 0.4680 0.4680 0.0000  2 P 2.23, 4 Mn 2.43
4 P 0.2500 0.7500 0.5000  4 Mn 2.23, 4 Co 2.37

Output
Its crystal system is orthorhombic. As for the total energy: -7.874 eV/atom. The value obtained for the magnetization is 0.000 μB per atom. The symmetry is Immm. The calculation puts the density of states at the Fermi level at 5.38 states/eV/f.u.

---

> magnetization of number 6 (Mn2CoP)?

0.000 μB per atom

---

What did the fourth record say?
Material: MnP2S2
Method: DFT, PBE-GGA
State: optimized geometry

a b c (Å): 4.5333 4.5333 4.4490
angles (deg): 90.00 90.00 90.00
Last column: nearest neighbours and their distance in Å.
Element x y z (fractional)
1 S 0.5000 0.0000 0.0000  2 P 2.27
2 P 0.0000 0.0000 0.5000  2 P 2.22
3 Mn 0.5000 0.5000 0.5000  8 S 3.18, 4 P 3.21
4 S 0.0000 0.5000 0.0000  2 P 2.27
5 P 0.0000 0.0000 0.0000  2 P 2.22, 4 S 2.27

Output
Its crystal system is tetragonal. As for the total energy: -5.032 eV/atom. The value obtained for the magnetization is 0.882 μB per atom. For the offset from the most stable computed form, the calculation gives 0.444 eV per formula unit. The symmetry is P4/mmm. The calculation puts the density of states at the Fermi level at 3.56 states/eV/f.u.

---

> magnetization of number 1 (Ac2Y3Tm)?

0.000 μB per atom

---

> What is the density of states at the Fermi level in the fourth record?

3.56 states/eV/f.u.